VASP calculation (GGA-PBE) on crystalline TbHo3Te3 at its relaxed geometry.

## Properties
* crystal system: trigonal
* energy relative to the elements, uncorrected: -0.994 eV per atom
* density: 8440 kg/m³
* calculated total energy: -34.7 eV/f.u.

a = 8.9671 Å, b = 8.9671 Å, c = 17.5718 Å
α = 90.00°, β = 90.00°, γ = 120.00°
With the nearest neighbours (Å) after each atom.
Space group R-3 (No. 148, hexagonal axes)
Asymmetric unit:
Tb (0.0000, 0.0000, 0.1927)  6 Te 3.10-3.20
Ho (0.0092, 0.2447, 0.4140)  5 Te 3.02-3.32
Te (0.0246, 0.4031, 0.5811)  5 Ho 3.02-3.32, 2 Tb 3.10-3.20

VASP calculation (GGA-PBE) on crystalline NaNdGd2 at its relaxed geometry.

## Properties
* crystal system: tetragonal
* density: 5985 kg/m³
* calculated total energy: -33.2 eV/f.u.
* formation energy from the elements: 0.25 eV/atom

a = 5.0755 Å, b = 5.0755 Å, c = 5.1880 Å
α = 90.00°, β = 90.00°, γ = 90.00°
With the nearest neighbours (Å) after each atom.
Space group P4/mmm (No. 123)
Asymmetric unit:
Na (0.0000, 0.0000, 0.0000)  4 Nd 3.59, 8 Gd 3.63
Nd (0.5000, 0.5000, 0.0000)  4 Na 3.59, 8 Gd 3.63
Gd (0.0000, 0.5000, 0.5000)  4 Gd 3.59, 4 Nd 3.63, 4 Na 3.63

VASP calculation (GGA-PBE) on crystalline PmBePd3 at its relaxed geometry.

## Properties
* crystal system: orthorhombic
* density: 8894 kg/m³
* calculated total energy: -27.1 eV/f.u.
* formation energy from the elements: -0.60 eV/atom

a = 5.3699 Å, b = 7.4029 Å, c = 8.8908 Å
α = 90.00°, β = 90.00°, γ = 90.00°
With the nearest neighbours (Å) after each atom.
Space group Imma (No. 74)
Asymmetric unit:
Pm (0.0000, 0.0000, 0.0000)  10 Pd 3.07-3.19, 4 Be 3.28
Be (0.0000, 0.2500, 0.4585)  4 Pd 2.26-2.29
Pd (0.0000, 0.0629, 0.6591)  1 Be 2.26
Pd (0.2500, 0.2500, 0.2500)  2 Be 2.29